LaAlBr2 PBE optimized geometry; N(E_F) = 0.242 states/eV/atom; energy above the lowest structure with this stoichiometry = 0.0000 eV/atom; total energy = -15.7 eV for the cell shown
1.0
-1.718 0.881 -5.319
-1.000 -3.895 -0.322
-5.466 -0.831 1.628
Al La Br
1 1 2
Direct
0.500 0.746 0.631
0.000 0.305 0.514
0.500 0.424 0.277
0.000 0.024 0.078